# PBE Nd2DyPb9, optimized geometry
# ΔE_f = -0.341 eV/atom
# Electronic total energy = -51.61 eV for the cell shown
data_Nd2DyPb9
_chemical_formula_sum 'Nd2 Dy1 Pb9'
_space_group_name_H-M_alt 'P 4/m m m'
_space_group_IT_number 123
_space_group_name_Hall '-P 4 2'
_cell_length_a 4.915
_cell_length_b 4.915
_cell_length_c 14.729
_cell_angle_alpha 90.00
_cell_angle_beta 90.00
_cell_angle_gamma 90.00
loop_
_atom_site_label
_atom_site_type_symbol
_atom_site_fract_x
_atom_site_fract_y
_atom_site_fract_z
Nd1 Nd 0.000 0.000 0.168
Dy1 Dy 0.000 0.000 0.500
Pb1 Pb 0.000 0.500 0.000
Pb2 Pb 0.000 0.500 0.337
Pb3 Pb 0.500 0.500 0.168
Pb4 Pb 0.500 0.500 0.500

***

# PBE NaHgBrF2, optimized geometry
# Formation energy without anion corrections = -1138 meV per atom
# Energy relative to the lowest polymorph listed for this composition = 46.5 kJ/mol of atoms
# Electronic total energy = -12.73 eV for the cell shown
data_NaHgBrF2
_chemical_formula_sum 'Na1 Hg1 Br1 F2'
_space_group_name_H-M_alt 'P 4/m m m'
_space_group_IT_number 123
_space_group_name_Hall '-P 4 2'
_cell_length_a 4.221
_cell_length_b 4.221
_cell_length_c 5.627
_cell_angle_alpha 90.00
_cell_angle_beta 90.00
_cell_angle_gamma 90.00
loop_
_atom_site_label
_atom_site_type_symbol
_atom_site_fract_x
_atom_site_fract_y
_atom_site_fract_z
Na1 Na 0.000 0.000 0.000
Hg1 Hg 0.500 0.500 0.500
Br1 Br 0.000 0.000 0.500
F1 F 0.000 0.500 0.000

***

# PBE AcPmAg2, optimized geometry
# ΔE_f = -0.262 eV/atom
# Energy relative to the lowest polymorph listed for this composition = 0.0 kJ/mol of atoms
# Electronic total energy = -15.61 eV for the cell shown
data_AcPmAg2
_chemical_formula_sum 'Ac1 Pm1 Ag2'
_space_group_name_H-M_alt 'P 4/m m m'
_space_group_IT_number 123
_space_group_name_Hall '-P 4 2'
_cell_length_a 3.848
_cell_length_b 3.848
_cell_length_c 7.668
_cell_angle_alpha 90.00
_cell_angle_beta 90.00
_cell_angle_gamma 90.00
loop_
_atom_site_label
_atom_site_type_symbol
_atom_site_fract_x
_atom_site_fract_y
_atom_site_fract_z
Ac1 Ac 0.000 0.000 0.000
Pm1 Pm 0.000 0.000 0.500
Ag1 Ag 0.500 0.500 0.278

***

# PBE SiGeBr2, optimized geometry
# Formation energy without anion corrections = 274 meV per atom
# Energy relative to the lowest polymorph listed for this composition = 0.0 kJ/mol of atoms
# Electronic total energy = -36.87 eV for the cell shown
data_SiGeBr2
_chemical_formula_sum 'Si3 Ge3 Br6'
_space_group_name_H-M_alt 'R -3 m'
_space_group_IT_number 166
_space_group_name_Hall '-R 3 2"'
_cell_length_a 3.5133
_cell_length_b 3.5133
_cell_length_c 28.3287
_cell_angle_alpha 90.00
_cell_angle_beta 90.00
_cell_angle_gamma 120.00
loop_
_atom_site_label
_atom_site_type_symbol
_atom_site_fract_x
_atom_site_fract_y
_atom_site_fract_z
Si1 Si 0.0000 0.0000 0.0000
Ge1 Ge 0.0000 0.0000 0.5000
Br1 Br 0.0000 0.0000 0.0920

***

# PBE SiGeN, optimized geometry
# Formation energy without anion corrections = -414 meV per atom
# Energy relative to the lowest polymorph listed for this composition = 3.8 kJ/mol of atoms
# Electronic total energy = -78.43 eV for the cell shown
data_SiGeN
_chemical_formula_sum 'Si4 Ge4 N4'
_space_group_name_H-M_alt 'P 1 21/c 1'
_space_group_IT_number 14
_space_group_name_Hall '-P 2ybc'
_cell_length_a 7.049
_cell_length_b 5.191
_cell_length_c 5.431
_cell_angle_alpha 90.00
_cell_angle_beta 95.34
_cell_angle_gamma 90.00
loop_
_atom_site_label
_atom_site_type_symbol
_atom_site_fract_x
_atom_site_fract_y
_atom_site_fract_z
Si1 Si 0.112 0.087 0.176
Ge1 Ge 0.452 0.001 0.254
N1 N 0.043 0.180 0.871

***

# PBE Sr2In4SnPb2, optimized geometry
# ΔE_f = -0.095 eV/atom
# Electronic total energy = -53.19 eV for the cell shown
data_Sr2In4SnPb2
_chemical_formula_sum 'Sr4 In8 Sn2 Pb4'
_space_group_name_H-M_alt 'I 4/m m m'
_space_group_IT_number 139
_space_group_name_Hall '-I 4 2'
_cell_length_a 7.181
_cell_length_b 7.181
_cell_length_c 11.449
_cell_angle_alpha 90.00
_cell_angle_beta 90.00
_cell_angle_gamma 90.00
loop_
_atom_site_label
_atom_site_type_symbol
_atom_site_fract_x
_atom_site_fract_y
_atom_site_fract_z
Sr1 Sr 0.000 0.000 0.227
In1 In 0.220 0.220 0.000
Sn1 Sn 0.000 0.000 0.500
Pb1 Pb 0.000 0.500 0.250

***

Number 1: magnetic moment 0.000 μB per formula unit. Number 2: magnetic moment 0.345 μB per formula unit. Number 3: magnetic moment 0.000 μB per formula unit. Number 4: magnetic moment 0.000 μB per formula unit. Number 5: magnetic moment 0.000 μB per formula unit. Number 6: magnetic moment 0.000 μB per formula unit.